# 1
A plane-wave DFT calculation with GGA-PBE was carried out for a geometry-optimized Hf2CdAsRu structure.

extended XYZ file:
```
5
Lattice="4.9169 0.0000 0.0000 0.0000 4.9169 0.0000 0.0000 0.0000 4.7533" Properties=species:S:1:pos:R:3 pbc="T T T"
Hf 0.0000 2.4585 0.0000
Hf 2.4585 0.0000 0.0000
Cd 0.0000 0.0000 2.3766
As 0.0000 0.0000 0.0000
Ru 2.4585 2.4585 2.3766
```

**ΔE_f**: 0.73 eV/atom
**Size of the total moment**: 0.41 Bohr magnetons per cell
**Total energy**: -6.221 eV/atom
**Symmetry**: P4/mmm

# 2
A plane-wave DFT calculation with GGA-PBE was carried out for a geometry-optimized Sm3ZrAl8 structure.

extended XYZ file:
```
12
Lattice="2.7795 1.6047 9.0894 -2.7795 1.6047 9.0894 0.0000 -3.2095 9.0894" Properties=species:S:1:pos:R:3 pbc="T T T"
Sm 0.0000 0.0000 0.0000
Sm 0.0000 0.0000 3.4221
Sm 0.0000 0.0000 13.6553
Zr 0.0000 0.0000 17.0612
Al -1.3976 -0.8069 10.7456
Al 0.0000 -1.6096 6.3159
Al -1.3940 0.8048 6.3159
Al 0.0000 0.0000 8.5239
Al 1.3976 -0.8069 10.7456
Al 0.0000 1.6138 10.7456
Al 1.3940 0.8048 6.3159
Al 0.0000 0.0000 22.1745
```

**Offset from the most stable computed form**: 0.0 kJ/mol of atoms
**ΔE_f**: -0.49 eV/atom
**Size of the total moment**: 0.00 Bohr magnetons per cell
**Total energy**: -4.880 eV/atom
**Symmetry**: R3m

# 3
A plane-wave DFT calculation with GGA-PBE was carried out for a geometry-optimized AlTc2Te structure.

extended XYZ file:
```
4
Lattice="3.0303 0.0000 0.0000 0.0000 3.0303 0.0000 0.0000 0.0000 7.9619" Properties=species:S:1:pos:R:3 pbc="T T T"
Al 0.0000 0.0000 0.0000
Tc 0.0000 0.0000 3.1108
Tc 1.5152 1.5152 1.5332
Te 1.5152 1.5152 5.0474
```

**Formation energy without anion corrections**: 0.085 eV per atom
**Offset from the most stable computed form**: 7.0 kJ/mol of atoms
**Size of the total moment**: 0.00 Bohr magnetons per cell
**Total energy**: -6.819 eV/atom
**Symmetry**: P4mm

# 4
A plane-wave DFT calculation with GGA-PBE was carried out for a geometry-optimized Ac2BiAu structure.

extended XYZ file:
```
4
Lattice="5.6126 0.0000 0.0000 0.0000 5.6126 0.0000 0.0000 0.0000 4.2241" Properties=species:S:1:pos:R:3 pbc="T T T"
Ac 0.0000 2.8063 0.0000
Ac 2.8063 0.0000 0.0000
Bi 0.0000 0.0000 2.1120
Au 2.8063 2.8063 2.1120
```

**Offset from the most stable computed form**: 5.5 kJ/mol of atoms
**ΔE_f**: -0.74 eV/atom
**Size of the total moment**: 0.00 Bohr magnetons per cell
**Total energy**: -4.588 eV/atom
**Symmetry**: P4/mmm

# 5
A plane-wave DFT calculation with GGA-PBE was carried out for a geometry-optimized VAgSb structure.

extended XYZ file:
```
6
Lattice="3.4807 0.0000 0.0000 0.0000 4.3252 0.0000 -1.7431 0.0000 7.4248" Properties=species:S:1:pos:R:3 pbc="T T T"
V -0.0001 1.0813 0.7416
V 1.7377 3.2439 6.6831
Ag -0.0015 3.2439 4.1329
Ag 1.7391 1.0813 3.2919
Sb -0.0037 1.0813 6.0407
Sb 1.7412 3.2439 1.3841
```

**Formation energy without anion corrections**: 0.125 eV per atom
**Offset from the most stable computed form**: 11.1 kJ/mol of atoms
**Size of the total moment**: 0.00 Bohr magnetons per cell
**Total energy**: -5.239 eV/atom
**Symmetry**: P2_1/m

# 6
A plane-wave DFT calculation with GGA-PBE was carried out for a geometry-optimized SiPb3I structure.

extended XYZ file:
```
5
Lattice="5.9552 0.0000 0.0000 0.0000 5.9552 0.0000 0.0000 0.0000 5.9552" Properties=species:S:1:pos:R:3 pbc="T T T"
Si 0.0000 0.0000 0.0000
Pb 0.0000 2.9776 2.9776
Pb 2.9776 0.0000 2.9776
Pb 2.9776 2.9776 0.0000
I 2.9776 2.9776 2.9776
```

**Formation energy without anion corrections**: 1.057 eV per atom
**Offset from the most stable computed form**: 66.4 kJ/mol of atoms
**Size of the total moment**: 0.00 Bohr magnetons per cell
**Total energy**: -2.562 eV/atom
**Symmetry**: Pm-3m

# 7
A plane-wave DFT calculation with GGA-PBE was carried out for a geometry-optimized ZnAg2P structure.

extended XYZ file:
```
12
Lattice="2.9630 0.0000 0.0000 -1.4815 2.5660 0.0000 0.0000 0.0000 26.1794" Properties=species:S:1:pos:R:3 pbc="T T T"
Zn 0.0000 0.0000 0.0000
Zn 0.0000 1.7107 17.4529
Zn 1.4815 0.8553 8.7265
Ag 0.0000 0.0000 6.5287
Ag 0.0000 0.0000 19.6507
Ag 0.0000 1.7107 10.9242
Ag 0.0000 1.7107 23.9816
Ag 1.4815 0.8553 2.1978
Ag 1.4815 0.8553 15.2552
P 0.0000 0.0000 13.0897
P 0.0000 1.7107 4.3632
P 1.4815 0.8553 21.8161
```

**Offset from the most stable computed form**: 4.5 kJ/mol of atoms
**ΔE_f**: 0.21 eV/atom
**Size of the total moment**: 0.00 Bohr magnetons per cell
**Total energy**: -2.887 eV/atom
**Symmetry**: R-3m

# 8
A plane-wave DFT calculation with GGA-PBE was carried out for a geometry-optimized Ce3Al4Co3 structure.

extended XYZ file:
```
40
Lattice="24.2566 0.0000 0.0000 0.0000 4.2159 0.0000 0.0000 0.0000 6.9797" Properties=species:S:1:pos:R:3 pbc="T T T"
Ce 0.9203 1.0540 1.0031
Ce 3.2262 1.0540 3.6498
Ce 4.1504 1.0540 0.2237
Ce 7.9779 3.1619 3.7136
Ce 8.9022 3.1619 0.1599
Ce 11.2081 3.1619 4.4929
Ce 13.0486 1.0540 2.4868
Ce 15.3545 1.0540 6.8198
Ce 16.2787 1.0540 3.2662
Ce 20.1062 3.1619 6.7560
Ce 21.0305 3.1619 3.3299
Ce 23.3364 3.1619 5.9766
Al 0.8982 3.1619 3.3861
Al 2.2349 3.1619 5.9265
Al 5.1813 3.1619 2.2901
Al 5.2037 3.1619 5.0870
Al 6.9246 1.0540 1.5971
Al 6.9470 1.0540 5.7800
Al 9.8935 1.0540 2.4366
Al 11.2301 1.0540 6.8760
Al 13.0265 3.1619 0.1038
Al 14.3632 3.1619 4.5431
Al 17.3097 3.1619 1.1998
Al 17.3321 3.1619 5.3826
Al 19.0529 1.0540 1.8927
Al 19.0753 1.0540 4.6896
Al 22.0218 1.0540 1.0533
Al 23.3585 1.0540 3.5936
Co 1.2994 1.0540 4.8940
Co 2.6705 3.1619 1.5149
Co 5.5460 1.0540 3.6899
Co 6.5824 3.1619 0.2000
Co 9.4579 1.0540 5.0047
Co 10.8289 3.1619 1.4041
Co 13.4277 1.0540 5.5756
Co 14.7988 3.1619 1.9750
Co 17.6743 1.0540 6.7797
Co 18.7107 3.1619 3.2899
Co 21.5862 1.0540 5.4649
Co 22.9572 3.1619 2.0858
```

**ΔE_f**: -0.52 eV/atom
**Size of the total moment**: 1.65 Bohr magnetons per cell
**Total energy**: -5.932 eV/atom
**Symmetry**: Pnma

# 9
A plane-wave DFT calculation with GGA-PBE was carried out for a geometry-optimized Pt3SeO structure.

extended XYZ file:
```
5
Lattice="4.6700 0.0000 0.0000 0.0000 4.6700 0.0000 0.0000 0.0000 4.6700" Properties=species:S:1:pos:R:3 pbc="T T T"
Pt 0.0000 0.0000 2.3350
Pt 0.0000 2.3350 0.0000
Pt 2.3350 0.0000 0.0000
Se 0.0000 0.0000 0.0000
O 2.3350 2.3350 2.3350
```

**Formation energy without anion corrections**: 1.273 eV per atom
**Offset from the most stable computed form**: 55.4 kJ/mol of atoms
**Size of the total moment**: 0.00 Bohr magnetons per cell
**Total energy**: -4.040 eV/atom
**Symmetry**: Pm-3m

# 10
A plane-wave DFT calculation with GGA-PBE was carried out for a geometry-optimized In4NiPt structure.

extended XYZ file:
```
6
Lattice="4.4808 0.0000 0.0000 0.0000 4.4808 0.0000 0.0000 0.0000 6.4226" Properties=species:S:1:pos:R:3 pbc="T T T"
In 0.0000 2.2404 1.5323
In 0.0000 2.2404 4.8903
In 2.2404 0.0000 1.5323
In 2.2404 0.0000 4.8903
Ni 0.0000 0.0000 0.0000
Pt 2.2404 2.2404 3.2113
```

**Offset from the most stable computed form**: 0.0 kJ/mol of atoms
**ΔE_f**: -0.29 eV/atom
**Size of the total moment**: 0.00 Bohr magnetons per cell
**Total energy**: -4.089 eV/atom
**Symmetry**: P4/mmm

# 11
A plane-wave DFT calculation with GGA-PBE was carried out for a geometry-optimized NiAs2PbSe structure.

extended XYZ file:
```
5
Lattice="5.3845 0.0000 0.0000 0.0000 5.3845 0.0000 0.0000 0.0000 5.4358" Properties=species:S:1:pos:R:3 pbc="T T T"
Ni 0.0000 0.0000 0.0000
As 0.0000 2.6923 2.7179
As 2.6923 0.0000 2.7179
Pb 2.6923 2.6923 2.7179
Se 2.6923 2.6923 0.0000
```

**Formation energy without anion corrections**: 1.461 eV per atom
**Offset from the most stable computed form**: 120.8 kJ/mol of atoms
**Size of the total moment**: 1.53 Bohr magnetons per cell
**Total energy**: -2.994 eV/atom
**Symmetry**: P4/mmm

# 12
A plane-wave DFT calculation with GGA-PBE was carried out for a geometry-optimized Ag2Hg3Cl8 structure.

extended XYZ file:
```
13
Lattice="6.7987 -4.5209 0.0000 6.7987 4.5209 0.0000 -1.4531 0.0000 6.6752" Properties=species:S:1:pos:R:3 pbc="T T T"
Ag 2.9261 0.0000 1.3833
Ag 9.2182 0.0000 5.2919
Hg -0.7266 0.0000 3.3376
Hg 6.7987 2.0212 0.0000
Hg 6.7987 -2.0212 0.0000
Cl 3.9877 2.5294 4.7115
Cl 0.4980 0.0000 5.3606
Cl 8.1565 2.5294 1.9636
Cl 5.3811 0.0000 1.2647
Cl 6.7631 0.0000 5.4105
Cl 3.9877 -2.5294 4.7115
Cl 11.6462 0.0000 1.3146
Cl 8.1565 -2.5294 1.9636
```

**Formation energy without anion corrections**: -0.529 eV per atom
**Size of the total moment**: 0.00 Bohr magnetons per cell
**Total energy**: -2.174 eV/atom
**Symmetry**: C2/m

# 13
A plane-wave DFT calculation with GGA-PBE was carried out for a geometry-optimized Na2GePt3 structure.

extended XYZ file:
```
6
Lattice="2.7671 1.5976 4.0335 -2.7671 1.5976 4.0335 0.0000 -3.1952 4.0335" Properties=species:S:1:pos:R:3 pbc="T T T"
Na 0.0000 0.0000 1.4585
Na 0.0000 0.0000 10.6419
Ge 0.0000 0.0000 6.0502
Pt -1.3836 -0.7988 4.0335
Pt -1.3836 0.7988 8.0669
Pt 0.0000 1.5976 4.0335
```

**ΔE_f**: -0.49 eV/atom
**Size of the total moment**: 0.00 Bohr magnetons per cell
**Total energy**: -4.715 eV/atom
**Symmetry**: R-3m